Model one:
TcPtW2: optimized geometry, GGA-PBE.

Calculated values
Volume   125.3 Å³/cell

a b c (Å): 3.342 4.290 8.741
angles (deg): 90.00 90.00 90.00
Space group Cmm2 (No. 35)
One atom of each set of equivalent atoms:
Tc 0.000 0.000 0.000 [2 per cell]
Pt 0.000 0.500 0.748 [2 per cell]
W 0.000 0.000 0.501 [2 per cell]
W 0.000 0.500 0.245 [2 per cell]


Model two:
TcPtW2: optimized geometry, GGA-PBE.

Calculated values
Volume   62.7 Å³/cell

a b c (Å): 2.789 3.957 5.678
angles (deg): 90.00 90.00 90.00
Space group Pmm2 (No. 25)
One atom of each set of equivalent atoms:
Tc 0.000 0.000 0.000 [1 per cell]
Pt 0.500 0.500 0.731 [1 per cell]
W 0.000 0.000 0.477 [1 per cell]
W 0.500 0.500 0.217 [1 per cell]


It is model one that is the least stable of them.


Model one:
ZrScCu: optimized geometry, GGA-PBE.

Calculated values
Volume   234.7 Å³/cell

a b c (Å): 11.784 3.225 6.432
angles (deg): 90.00 106.21 90.00
Space group Cm (No. 8)
One atom of each set of equivalent atoms:
Zr 0.000 0.000 0.000 [2 per cell]
Zr 0.189 0.500 0.340 [2 per cell]
Sc 0.196 0.500 0.849 [2 per cell]
Sc 0.493 0.500 0.492 [2 per cell]
Cu 0.344 0.000 0.670 [2 per cell]
Cu 0.345 0.000 0.171 [2 per cell]


Model two:
ZrScCu: optimized geometry, GGA-PBE.

Calculated values
Volume   236.1 Å³/cell

a b c (Å): 3.265 16.489 4.387
angles (deg): 90.00 90.00 90.00
Space group Cmcm (No. 63)
One atom of each set of equivalent atoms:
Zr 0.000 0.209 0.250 [4 per cell]
Sc 0.000 0.405 0.250 [4 per cell]
Cu 0.000 0.041 0.250 [4 per cell]


It is model two that is the least stable of them.